Entry from OQMD via LeMat-Bulk: a geometry-optimized AcAgNO structure (PBE).

The structure in POSCAR format:
```
AcAgNO
1.0
3.7761 0.0000 0.0000
0.0000 6.0386 0.0000
0.0000 0.0000 6.0515
Ac Ag N O
2 2 2 2
Direct
0.0000 0.2064 0.0000
0.0000 0.7936 0.5000
0.5000 0.2712 0.5133
0.5000 0.7288 0.0133
0.5000 0.0113 0.2660
0.5000 0.9887 0.7660
0.0000 0.4403 0.6738
0.0000 0.5597 0.1738
```

* E_tot: -5.887 eV/atom
* energy above the most stable polymorph in this dataset: 0.1453 eV per atom
* M_tot: 0.039 μB/atom
* symmetry: Pmc2_1, No. 26